1.
La6Ag2RuN after structural relaxation. Source: Alexandria via LeMat-Bulk, functional GGA-PBE.

Lattice parameters (Å, degrees): 6.994 7.717 10.563 90.00 88.81 90.00
Positions (direct):
La (0.305, 0.681, 0.051)
La (0.805, 0.819, 0.551)
La (0.893, 0.521, 0.241)
Ag (0.951, 0.092, 0.753)
Ag (0.049, 0.908, 0.247)
La (0.107, 0.479, 0.759)
La (0.168, 0.204, 0.050)
N (0.500, 0.000, 0.500)
Ru (0.000, 0.500, 0.500)
Ru (0.500, 0.000, 0.000)
La (0.393, 0.979, 0.741)
La (0.695, 0.319, 0.949)
La (0.607, 0.021, 0.259)
Ag (0.549, 0.592, 0.747)
La (0.195, 0.181, 0.449)
Ag (0.451, 0.408, 0.253)
N (0.000, 0.500, 0.000)
La (0.832, 0.796, 0.950)
La (0.668, 0.296, 0.550)
La (0.332, 0.704, 0.450)

Output
symmetry: No. 14
calculated total energy: -5.71 eV per atom

2.
LaPuSi2Tc after structural relaxation. Source: Alexandria via LeMat-Bulk, functional GGA-PBE.

Lattice parameters (Å, degrees): 4.092 4.092 6.729 107.70 107.70 90.00
Last column: magnetic moment on the atom in μB.
Positions (direct):
Si (0.599, 0.599, 0.199)  -0.01
Si (0.401, 0.401, 0.801)  -0.01
La (0.000, 0.000, 0.000)  0.00
Tc (0.250, 0.750, 0.500)  -0.03
Pu (0.750, 0.250, 0.500)  0.08

Output
symmetry: No. 119
calculated total energy: -8.17 eV per atom

3.
Sr2CoMo after structural relaxation. Source: Alexandria via LeMat-Bulk, functional GGA-PBE.

Lattice parameters (Å, degrees): 5.183 5.183 5.183 120.14 120.14 89.76
Last column: magnetic moment on the atom in μB.
Positions (direct):
Sr (0.250, 0.750, 0.500)  -0.02
Mo (0.750, 0.250, 0.500)  2.34
Sr (0.000, 0.000, 0.000)  0.06
Co (0.500, 0.500, 0.000)  1.69

Output
formation energy from the elements: 1.14 eV/atom
energy relative to the lowest polymorph listed for this composition: 602 meV per atom
symmetry: No. 119
calculated total energy: -4.18 eV per atom

4.
TbZr2Zn after structural relaxation. Source: Alexandria via LeMat-Bulk, functional GGA-PBE.

Lattice parameters (Å, degrees): 3.298 3.298 8.309 90.00 90.00 90.00
Positions (direct):
Zr (0.000, 0.000, 0.213)
Zr (0.000, 0.000, 0.787)
Zn (0.500, 0.500, 0.000)
Tb (0.500, 0.500, 0.500)

Output
formation energy from the elements: -0.04 eV/atom
energy relative to the lowest polymorph listed for this composition: 0 meV per atom
symmetry: No. 123
calculated total energy: -5.79 eV per atom

5.
Na2LaVAu after structural relaxation. Source: Alexandria via LeMat-Bulk, functional GGA-PBE.

Lattice parameters (Å, degrees): 5.298 5.170 5.298 90.00 90.00 90.00
Last column: magnetic moment on the atom in μB.
Positions (direct):
La (0.500, 0.500, 0.500)  0.08
V (0.000, 0.500, 0.000)  -2.56
Au (0.000, 0.000, 0.000)  -0.03
Na (0.000, 0.000, 0.500)  0.01
Na (0.500, 0.000, 0.000)  0.01

Output
formation energy from the elements: 0.49 eV/atom
symmetry: No. 123
calculated total energy: -3.50 eV per atom

6.
Th3Cd2Hg7 after structural relaxation. Source: Alexandria via LeMat-Bulk, functional GGA-PBE.

Lattice parameters (Å, degrees): 4.214 4.857 15.682 99.11 90.00 90.00
Positions (direct):
Th (0.000, 0.188, 0.377)
Hg (0.500, 0.726, 0.453)
Th (0.000, 0.812, 0.623)
Cd (0.500, 0.640, 0.277)
Hg (0.500, 0.084, 0.166)
Hg (0.000, 0.421, 0.847)
Hg (0.500, 0.916, 0.834)
Hg (0.500, 0.274, 0.547)
Hg (0.000, 0.000, 0.000)
Hg (0.000, 0.579, 0.153)
Th (0.500, 0.500, 0.000)
Cd (0.500, 0.360, 0.723)

Output
formation energy from the elements: -0.08 eV/atom
symmetry: No. 10
calculated total energy: -2.26 eV per atom

7.
AlInIN2 after structural relaxation. Source: Alexandria via LeMat-Bulk, functional GGA-PBE.

Lattice parameters (Å, degrees): 4.350 4.350 6.405 90.00 90.00 90.00
Last column: magnetic moment on the atom in μB.
Positions (direct):
I (0.000, 0.000, 0.500)  0.02
In (0.000, 0.000, 0.000)  -0.03
N (0.500, 0.000, 0.000)  0.99
N (0.000, 0.500, 0.000)  0.99
Al (0.500, 0.500, 0.500)  0.00

Output
energy relative to the lowest polymorph listed for this composition: 512 meV per atom
symmetry: No. 123
calculated total energy: -3.54 eV per atom

8.
Mg3NiSe after structural relaxation. Source: Alexandria via LeMat-Bulk, functional GGA-PBE.

Lattice parameters (Å, degrees): 4.937 4.937 4.937 90.00 90.00 90.00
Positions (direct):
Mg (0.000, 0.000, 0.500)
Mg (0.500, 0.000, 0.000)
Se (0.000, 0.000, 0.000)
Mg (0.000, 0.500, 0.000)
Ni (0.500, 0.500, 0.500)

Output
energy relative to the lowest polymorph listed for this composition: 360 meV per atom
symmetry: No. 221
calculated total energy: -2.47 eV per atom

9.
VInP2 after structural relaxation. Source: Alexandria via LeMat-Bulk, functional GGA-PBE.

Lattice parameters (Å, degrees): 5.670 5.670 7.043 66.27 66.27 90.00
Last column: magnetic moment on the atom in μB.
Positions (direct):
In (0.000, 0.000, 0.000)  0.05
P (0.375, 0.411, 0.750)  -0.08
In (0.750, 0.250, 0.500)  0.05
P (0.875, 0.839, 0.750)  -0.08
P (0.161, 0.625, 0.250)  -0.08
V (0.500, 0.500, 0.000)  1.79
V (0.250, 0.750, 0.500)  1.79
P (0.589, 0.125, 0.250)  -0.08

Output
formation energy from the elements: -0.08 eV/atom
symmetry: No. 122
calculated total energy: -5.75 eV per atom

10.
Y2ErTl after structural relaxation. Source: Alexandria via LeMat-Bulk, functional GGA-PBE.

Lattice parameters (Å, degrees): 3.548 3.548 12.168 81.62 81.62 60.00
Positions (direct):
Y (0.089, 0.089, 0.734)
Y (0.911, 0.911, 0.266)
Er (0.500, 0.500, 0.500)
Tl (0.000, 0.000, 0.000)

Output
formation energy from the elements: 0.08 eV/atom
energy relative to the lowest polymorph listed for this composition: 263 meV per atom
symmetry: No. 166
calculated total energy: -4.89 eV per atom

11.
Ac4Ni3Cl after structural relaxation. Source: Alexandria via LeMat-Bulk, functional GGA-PBE.

Lattice parameters (Å, degrees): 4.239 6.088 8.939 90.00 90.00 90.00
Positions (direct):
Ni (0.000, 0.000, 0.500)
Ni (0.500, 0.500, 0.759)
Ac (0.000, 0.500, 0.000)
Ac (0.000, 0.500, 0.500)
Ni (0.500, 0.500, 0.241)
Ac (0.500, 0.000, 0.276)
Ac (0.500, 0.000, 0.724)
Cl (0.000, 0.000, 0.000)

Output
symmetry: No. 47
calculated total energy: -4.99 eV per atom

12.
CeAl4Rh after structural relaxation. Source: Alexandria via LeMat-Bulk, functional GGA-PBE.

Lattice parameters (Å, degrees): 8.453 8.453 8.453 139.99 139.99 57.87
Last column: magnetic moment on the atom in μB.
Positions (direct):
Al (0.843, 0.973, 0.500)  0.01
Ce (0.000, 0.000, 0.000)  0.75
Al (0.473, 0.343, 0.500)  0.01
Al (0.527, 0.657, 0.500)  0.01
Al (0.343, 0.843, 0.870)  0.01
Rh (0.750, 0.750, 0.000)  0.00
Al (0.027, 0.527, 0.870)  0.01
Al (0.657, 0.157, 0.130)  0.01
Al (0.973, 0.473, 0.130)  0.01
Rh (0.250, 0.250, 0.000)  0.00
Al (0.157, 0.027, 0.500)  0.01
Ce (0.500, 0.500, 0.000)  0.75

Output
formation energy from the elements: -0.37 eV/atom
symmetry: No. 140
calculated total energy: -5.07 eV per atom

13.
Li3Dy2Cu12Ni after structural relaxation. Source: Alexandria via LeMat-Bulk, functional GGA-PBE.

Lattice parameters (Å, degrees): 11.814 11.814 11.814 25.48 25.48 25.48
Positions (direct):
Cu (0.398, 0.398, 0.872)
Li (0.000, 0.000, 0.500)
Cu (0.891, 0.386, 0.891)
Cu (0.398, 0.872, 0.398)
Cu (0.128, 0.602, 0.602)
Cu (0.109, 0.614, 0.109)
Cu (0.602, 0.128, 0.602)
Cu (0.386, 0.891, 0.891)
Cu (0.614, 0.109, 0.109)
Cu (0.872, 0.398, 0.398)
Li (0.500, 0.000, 0.000)
Cu (0.109, 0.109, 0.614)
Ni (0.000, 0.000, 0.000)
Cu (0.891, 0.891, 0.386)
Dy (0.645, 0.645, 0.645)
Dy (0.355, 0.355, 0.355)
Li (0.000, 0.500, 0.000)
Cu (0.602, 0.602, 0.128)

Output
formation energy from the elements: 0.07 eV/atom
symmetry: No. 166
calculated total energy: -3.81 eV per atom

14.
As2RhAu2 after structural relaxation. Source: Alexandria via LeMat-Bulk, functional GGA-PBE.

Lattice parameters (Å, degrees): 6.235 6.235 4.921 90.00 90.00 90.00
Positions (direct):
As (0.361, 0.861, 0.000)
As (0.639, 0.139, 0.000)
Rh (0.500, 0.500, 0.000)
Au (0.775, 0.725, 0.500)
Rh (0.000, 0.000, 0.000)
Au (0.225, 0.275, 0.500)
As (0.861, 0.639, 0.000)
Au (0.275, 0.775, 0.500)
As (0.139, 0.361, 0.000)
Au (0.725, 0.225, 0.500)

Output
formation energy from the elements: -0.01 eV/atom
symmetry: No. 127
calculated total energy: -4.65 eV per atom

15.
Ac3PbO7 after structural relaxation. Source: Alexandria via LeMat-Bulk, functional GGA-PBE.

Lattice parameters (Å, degrees): 7.083 7.083 8.292 90.00 90.00 109.84
Last column: magnetic moment on the atom in μB.
Positions (direct):
O (0.670, 0.916, 0.525)  0.13
O (0.084, 0.330, 0.975)  0.13
Pb (0.000, 0.000, 0.000)  -0.01
Ac (0.998, 0.529, 0.750)  0.02
O (0.084, 0.331, 0.525)  0.13
O (0.371, 0.629, 0.250)  0.08
O (0.916, 0.669, 0.025)  0.13
Ac (0.002, 0.471, 0.250)  0.02
Pb (0.000, 0.000, 0.500)  -0.01
Ac (0.500, 0.500, 0.000)  -0.01
Ac (0.529, 0.998, 0.250)  0.02
O (0.076, 0.924, 0.750)  0.08
O (0.330, 0.084, 0.025)  0.13
O (0.916, 0.670, 0.475)  0.13
Ac (0.500, 0.500, 0.500)  -0.01
O (0.669, 0.916, 0.975)  0.13
O (0.366, 0.634, 0.750)  0.17
Ac (0.471, 0.002, 0.750)  0.02
O (0.924, 0.076, 0.250)  0.08
O (0.331, 0.084, 0.475)  0.13
O (0.634, 0.366, 0.250)  0.17
O (0.629, 0.371, 0.750)  0.08

Output
symmetry: No. 63
calculated total energy: -7.14 eV per atom

16.
KSi4Ir after structural relaxation. Source: Alexandria via LeMat-Bulk, functional GGA-PBE.

Lattice parameters (Å, degrees): 5.260 5.260 5.260 60.00 60.00 60.00
Positions (direct):
Ir (0.750, 0.750, 0.750)
K (0.000, 0.000, 0.000)
Si (0.377, 0.377, 0.377)
Si (0.377, 0.869, 0.377)
Si (0.869, 0.377, 0.377)
Si (0.377, 0.377, 0.869)

Output
symmetry: No. 216
calculated total energy: -4.58 eV per atom

17.
Re2AgP2 after structural relaxation. Source: Alexandria via LeMat-Bulk, functional GGA-PBE.

Lattice parameters (Å, degrees): 3.565 3.565 6.527 74.15 74.15 90.00
Positions (direct):
Re (0.619, 0.619, 0.761)
P (0.250, 0.750, 0.500)
P (0.750, 0.250, 0.500)
Ag (0.000, 0.000, 0.000)
Re (0.381, 0.381, 0.239)

Output
formation energy from the elements: 0.20 eV/atom
symmetry: No. 139
calculated total energy: -7.52 eV per atom

18.
AlCuHg after structural relaxation. Source: Alexandria via LeMat-Bulk, functional GGA-PBE.

Lattice parameters (Å, degrees): 4.758 4.758 4.758 137.10 135.36 63.64
Positions (direct):
Al (0.002, 0.002, 0.000)
Hg (0.332, 0.332, 0.000)
Cu (0.665, 0.665, 0.000)

Output
formation energy from the elements: 0.11 eV/atom
energy relative to the lowest polymorph listed for this composition: 11 meV per atom
symmetry: No. 44
calculated total energy: -2.60 eV per atom

19.
CaLaSc2 after structural relaxation. Source: Alexandria via LeMat-Bulk, functional GGA-PBE.

Lattice parameters (Å, degrees): 11.632 11.632 11.632 17.38 17.38 17.38
Positions (direct):
Sc (0.497, 0.497, 0.497)
Ca (0.250, 0.250, 0.250)
Sc (0.003, 0.003, 0.003)
La (0.750, 0.750, 0.750)

Output
formation energy from the elements: 0.16 eV/atom
energy relative to the lowest polymorph listed for this composition: 53 meV per atom
symmetry: No. 166
calculated total energy: -4.73 eV per atom

20.
CuSiNi after structural relaxation. Source: Alexandria via LeMat-Bulk, functional GGA-PBE.

Lattice parameters (Å, degrees): 3.422 2.584 8.300 98.95 90.00 90.00
Positions (direct):
Cu (0.750, 0.446, 0.392)
Si (0.250, 0.856, 0.212)
Ni (0.750, 0.294, 0.089)
Ni (0.250, 0.706, 0.911)
Cu (0.250, 0.554, 0.608)
Si (0.750, 0.144, 0.788)

Output
symmetry: No. 63
calculated total energy: -5.24 eV per atom